A plane-wave DFT calculation with PBE was carried out for crystalline POs2Se at its relaxed geometry.

It has space group Pm (No. 6), with a = 2.913 Å, b = 4.227 Å, c = 6.497 Å, α = 90.00°, β = 97.45° and γ = 90.00°. Symmetry generates all atoms from P at (0.000, 0.000, 0.000), Os at (0.426, 0.000, 0.704), Os at (0.956, 0.500, 0.837) and Se at (0.542, 0.500, 0.479).

Its formation energy without anion corrections is 28.6 kJ/mol of atoms. The value obtained for the distance to the lowest polymorph of the same formula is 0.100 eV per atom. The electronic total energy is -7.542 eV/atom.

A plane-wave DFT calculation with PBE was carried out for crystalline Ac6TbTm2 at its relaxed geometry.

It has space group C2/c (No. 15), with a = 15.952 Å, b = 9.431 Å, c = 10.044 Å, α = 90.00°, β = 99.85° and γ = 90.00°. Symmetry generates all atoms from Ac at (0.101, 0.193, 0.124), Ac at (0.120, 0.434, 0.832), Ac at (0.136, 0.220, 0.517), Tb at (0.000, 0.102, 0.750) and Tm at (0.218, 0.078, 0.851).

For the formation energy, the calculation gives 169.4 meV per atom. The electronic total energy is -4.078 eV/atom.

A plane-wave DFT calculation with PBE was carried out for crystalline AlHS2Cl at its relaxed geometry.

It has space group P4/mmm (No. 123), with a = 4.619 Å, b = 4.619 Å, c = 4.877 Å, α = 90.00°, β = 90.00° and γ = 90.00°. Symmetry generates all atoms from Al at (0.000, 0.000, 0.000), H at (0.500, 0.500, 0.500), S at (0.000, 0.500, 0.000) and Cl at (0.000, 0.000, 0.500).

The value obtained for the distance to the lowest polymorph of the same formula is 0.000 eV per atom. The electronic total energy is -3.133 eV/atom.

A plane-wave DFT calculation with PBE was carried out for crystalline BaCaCo2Ru at its relaxed geometry.

It has space group P4/mmm (No. 123), with a = 5.010 Å, b = 5.010 Å, c = 4.989 Å, α = 90.00°, β = 90.00° and γ = 90.00°. Symmetry generates all atoms from Ba at (0.000, 0.000, 0.000), Ca at (0.500, 0.500, 0.500), Co at (0.000, 0.500, 0.500) and Ru at (0.500, 0.500, 0.000).

For the formation energy, the calculation gives 1434.2 meV per atom. The electronic total energy is -4.048 eV/atom.

Copy entry 3 word for word.
A plane-wave DFT calculation with PBE was carried out for crystalline AlHS2Cl at its relaxed geometry.

It has space group P4/mmm (No. 123), with a = 4.619 Å, b = 4.619 Å, c = 4.877 Å, α = 90.00°, β = 90.00° and γ = 90.00°. Symmetry generates all atoms from Al at (0.000, 0.000, 0.000), H at (0.500, 0.500, 0.500), S at (0.000, 0.500, 0.000) and Cl at (0.000, 0.000, 0.500).

The value obtained for the distance to the lowest polymorph of the same formula is 0.000 eV per atom. The electronic total energy is -3.133 eV/atom.

Q: The lowest electronic total energy belongs to which entry?
A: POs2Se